Material: TbCeNi
Method: DFT, PBE
State: relaxed

Structure (POSCAR):
```
TbCeNi
1.0
-0.1115 -3.1403 1.3622
3.3707 0.1367 0.5910
-2.6939 3.9293 4.5324
Ce Ni Tb
1 1 1
Direct
0.3003 0.3003 0.6006 Ce
0.6684 0.6684 0.3368 Ni
0.0313 0.0313 0.0626 Tb
```

## Properties
energy above the lowest structure with this stoichiometry: 0.000 eV/atom
crystal system: tetragonal
total DFT energy (no corrections): -5.5983 eV per atom
calculated formation energy: -150 meV/atom

***

Material: Pm3Pt2Au4
Method: DFT, PBE
State: relaxed

Structure (POSCAR):
```
Pm3Pt2Au4
1.0
-2.9415 -2.5617 1.5474
0.3064 -5.5711 -2.9506
4.2535 -4.9101 5.6472
Pm Pt Au
3 2 4
Direct
0.3163 0.7410 0.6264 Pm
0.6837 0.2590 0.3736 Pm
0.0000 0.0000 0.0000 Pm
0.3897 0.9546 0.2660 Pt
0.6103 0.0454 0.7340 Pt
0.7311 0.6202 0.9177 Au
0.2689 0.3798 0.0823 Au
0.9940 0.6582 0.3538 Au
0.0060 0.3418 0.6462 Au
```

## Properties
crystal system: monoclinic
total DFT energy (no corrections): -5.2416 eV per atom
calculated formation energy: -859 meV/atom

***

Material: HoReBi
Method: DFT, PBE
State: relaxed

Structure (POSCAR):
```
HoReBi
1.0
-3.2743 -3.7716 -3.7447
-2.0170 -5.9707 -6.7324
12.7204 7.2294 17.9998
Re Bi Ho
2 2 2
Direct
0.1777 0.5394 0.7166 Re
0.0729 0.3428 0.7169 Re
0.3211 0.7685 0.4594 Bi
0.1241 0.7656 0.9737 Bi
0.5369 0.7693 0.3787 Ho
0.9052 0.7669 0.0545 Ho
```

## Properties
crystal system: triclinic
total DFT energy (no corrections): -6.9847 eV per atom
calculated formation energy: -16 meV/atom

***

Material: CuRuRh2
Method: DFT, PBE
State: relaxed

Structure (POSCAR):
```
CuRuRh2
1.0
-2.8463 4.2375 -0.1877
-3.0434 0.9957 3.9799
4.7481 -0.6914 -1.7523
Rh Ru Cu
2 1 1
Direct
0.4907 0.4907 0.0000 Rh
0.0093 0.0093 0.0000 Rh
0.7500 0.2500 0.5000 Ru
0.2500 0.7500 0.5000 Cu
```

## Properties
energy above the lowest structure with this stoichiometry: 0.220 eV/atom
crystal system: orthorhombic
total DFT energy (no corrections): -6.7699 eV per atom
calculated formation energy: 249 meV/atom

***

Material: RbZrAg2Os
Method: DFT, PBE
State: relaxed

Structure (POSCAR):
```
RbZrAg2Os
1.0
-2.6564 -3.3849 -3.6211
-0.8623 -3.1620 3.5884
-4.8553 2.6039 1.1278
Ag Rb Os Zr
2 1 1 1
Direct
0.0000 0.0000 0.5000 Ag
0.5000 0.0000 0.0000 Ag
0.5000 0.5000 0.5000 Rb
0.0000 0.5000 0.0000 Os
0.0000 0.0000 0.0000 Zr
```

## Properties
crystal system: tetragonal
total DFT energy (no corrections): -4.2535 eV per atom
calculated formation energy: 1036 meV/atom

***

Material: BaSr3Pd
Method: DFT, PBE
State: relaxed

Structure (POSCAR):
```
BaSr3Pd
1.0
-1.6843 0.5532 -7.4088
6.6558 -3.5834 0.9529
-4.1684 -7.6425 0.3771
Sr Ba Pd
6 2 2
Direct
0.6892 0.9876 0.0347 Sr
0.1804 0.4788 0.5222 Sr
0.6755 0.4918 0.2785 Sr
0.1933 0.9740 0.2785 Sr
0.6891 0.9875 0.5222 Sr
0.1803 0.4787 0.0347 Sr
0.6876 0.4809 0.7785 Ba
0.1825 0.9860 0.7786 Ba
0.9347 0.2331 0.7783 Pd
0.4347 0.7332 0.2783 Pd
```

## Properties
energy above the lowest structure with this stoichiometry: 0.001 eV/atom
crystal system: orthorhombic
total DFT energy (no corrections): -2.7301 eV per atom
calculated formation energy: -298 meV/atom

***

Material: CaTm2Mg2
Method: DFT, PBE
State: relaxed

Structure (POSCAR):
```
CaTm2Mg2
1.0
0.0592 -3.6713 -0.4178
4.8690 -0.2154 2.5825
-6.6799 0.3185 12.6206
Tm Mg Ca
4 4 2
Direct
0.7648 0.2500 0.5300 Tm
0.2352 0.7500 0.4700 Tm
0.9571 0.2500 0.9146 Tm
0.0429 0.7500 0.0854 Tm
0.3605 0.2500 0.7227 Mg
0.4482 0.7500 0.8975 Mg
0.5518 0.2500 0.1025 Mg
0.6395 0.7500 0.2773 Mg
0.8482 0.7500 0.6972 Ca
0.1518 0.2500 0.3028 Ca
```

## Properties
crystal system: monoclinic
total DFT energy (no corrections): -2.8460 eV per atom
calculated formation energy: -19 meV/atom

***

Material: Pm8C3O4
Method: DFT, PBE
State: relaxed

Structure (POSCAR):
```
Pm8C3O4
1.0
-4.3339 -4.9249 3.0598
2.3102 -6.8029 0.8852
1.6289 -2.3828 7.0345
O Pm C
4 8 3
Direct
0.5000 0.5000 0.5000 O
0.3593 0.3593 0.9221 O
0.0000 0.0000 0.0000 O
0.6407 0.6407 0.0779 O
0.7570 0.2560 0.7311 Pm
0.7440 0.7440 0.2689 Pm
0.2560 0.2560 0.7311 Pm
0.2430 0.7440 0.2689 Pm
0.2401 0.2401 0.2797 Pm
0.2560 0.7570 0.7311 Pm
0.7440 0.2430 0.2689 Pm
0.7599 0.7599 0.7203 Pm
0.5000 0.0000 0.5000 C
0.0000 0.5000 0.5000 C
0.0000 0.0000 0.5000 C
```

## Properties
crystal system: trigonal
total DFT energy (no corrections): -7.2051 eV per atom

***

Among the records above, which one has the lowest total DFT energy (no corrections)? Pm8C3O4